## ErSiB4 (PBE)

Data for a relaxed ErSiB4 crystal.

extended XYZ file:
```
6
Lattice="-1.5813 2.5133 3.9690 1.5813 -2.5133 3.9690 1.5813 2.5133 -3.9690" Properties=species:S:1:pos:R:3 pbc="T T T"
B 0.0000 3.4133 2.1225
B 0.0000 1.6133 2.1225
B 1.5813 -0.9000 1.8465
B 1.5813 0.9000 1.8465
Er 0.0000 0.0000 0.0000
Si 0.0000 0.0000 3.9690
```

Properties
space group	Immm
distance to the lowest polymorph of the same formula	0	meV per atom